1.
# Ce6NiRh10

A relaxed structure of Ce6NiRh10 (PBE, Alexandria via LeMat-Bulk).

a b c (Å): 5.885 7.956 7.956
angles (deg): 120.00 90.00 90.00
Fractional coordinates of all 17 atoms:
Rh 0.186 0.000 0.736
Rh 0.814 0.264 0.000
Rh 0.500 0.667 0.333
Rh 0.814 0.736 0.736
Rh 0.000 0.667 0.333
Ce 0.275 0.633 0.633
Ce 0.725 0.000 0.633
Rh 0.814 0.000 0.264
Rh 0.000 0.333 0.667
Ce 0.725 0.633 0.000
Rh 0.500 0.333 0.667
Ce 0.275 0.367 0.000
Ce 0.275 0.000 0.367
Rh 0.186 0.736 0.000
Ni 0.500 0.000 0.000
Rh 0.186 0.264 0.264
Ce 0.725 0.367 0.367

Output
calculated total energy = -124.1 eV for the cell shown
calculated formation energy = -0.54 eV per atom
theoretical density = 9.927 g cm⁻³
space-group type = P-31m (162)

2.
# CaLa7Tb12

A relaxed structure of CaLa7Tb12 (PBE, Alexandria via LeMat-Bulk).

a b c (Å): 9.910 9.910 9.910
angles (deg): 109.47 109.47 109.47
Fractional coordinates of all 20 atoms:
La 0.500 0.500 0.000
Tb 0.505 0.253 0.253
Tb 0.253 0.253 0.505
La 0.500 0.500 0.500
Tb 0.000 0.253 0.747
Tb 0.747 0.747 0.495
La 0.000 0.500 0.000
Tb 0.495 0.747 0.747
Tb 0.253 0.505 0.253
Tb 0.253 0.000 0.747
Tb 0.747 0.495 0.747
La 0.500 0.000 0.000
La 0.000 0.000 0.500
Ca 0.000 0.000 0.000
Tb 0.000 0.747 0.253
Tb 0.747 0.000 0.253
La 0.500 0.000 0.500
La 0.000 0.500 0.500
Tb 0.747 0.253 0.000
Tb 0.253 0.747 0.000

Output
calculated total energy = -80.6 eV for the cell shown
calculated formation energy = 0.57 eV per atom
theoretical density = 6.470 g cm⁻³
space-group type = Im-3m (229)

3.
# BaSr2P2

A relaxed structure of BaSr2P2 (PBE, Alexandria via LeMat-Bulk).

a b c (Å): 8.608 8.608 3.823
angles (deg): 90.00 90.00 90.00
Fractional coordinates of all 10 atoms:
P 0.174 0.674 0.500
P 0.674 0.826 0.500
Sr 0.127 0.373 0.000
Ba 0.000 0.000 0.000
Sr 0.373 0.873 0.000
P 0.326 0.174 0.500
P 0.826 0.326 0.500
Ba 0.500 0.500 0.000
Sr 0.873 0.627 0.000
Sr 0.627 0.127 0.000

Output
relative energy among the computed polymorphs = 299 meV/atom
calculated total energy = -39.7 eV for the cell shown
calculated formation energy = -0.74 eV per atom
theoretical density = 4.391 g cm⁻³
space-group type = P4/mbm (127)

4.
# Nd8SbTe4As3

A relaxed structure of Nd8SbTe4As3 (PBE, Alexandria via LeMat-Bulk).

a b c (Å): 8.779 8.924 8.779
angles (deg): 119.47 120.00 90.00
Fractional coordinates of all 16 atoms:
As 0.500 0.500 0.000
Nd 0.753 0.274 0.021
Nd 0.247 0.726 0.495
Nd 0.740 0.720 0.480
Te 0.500 0.000 0.000
As 0.500 0.500 0.500
Sb 0.000 0.500 0.000
Te 0.500 0.000 0.500
Te 0.000 0.000 0.500
As 0.000 0.500 0.500
Nd 0.753 0.274 0.505
Nd 0.247 0.726 0.979
Nd 0.268 0.274 0.021
Te 0.000 0.000 0.000
Nd 0.732 0.726 0.979
Nd 0.260 0.280 0.520

Output
formation energy without anion corrections = -1486 meV per atom
calculated total energy = -92.6 eV for the cell shown
theoretical density = 6.812 g cm⁻³
space-group type = R-3m (166)

5.
# NaSr2OsI

A relaxed structure of NaSr2OsI (PBE, Alexandria via LeMat-Bulk).

a b c (Å): 6.254 4.942 6.254
angles (deg): 90.00 90.00 90.00
Fractional coordinates of all 5 atoms:
I 0.000 0.000 0.000
Na 0.500 0.500 0.500
Sr 0.500 0.000 0.000
Sr 0.000 0.000 0.500
Os 0.000 0.500 0.000

Output
formation energy without anion corrections = 569 meV per atom
calculated total energy = -14.6 eV for the cell shown
theoretical density = 4.428 g cm⁻³
space-group type = P4/mmm (123)

6.
# Mg8Cd3Hg3

A relaxed structure of Mg8Cd3Hg3 (PBE, Alexandria via LeMat-Bulk).

a b c (Å): 7.194 7.513 10.501
angles (deg): 67.87 45.67 91.10
Fractional coordinates of all 14 atoms:
Hg 0.249 0.751 0.751
Hg 0.500 0.500 0.500
Mg 0.866 0.831 0.486
Mg 0.416 0.880 0.358
Mg 0.817 0.486 0.831
Cd 0.006 0.870 0.130
Hg 0.751 0.249 0.249
Mg 0.345 0.358 0.880
Cd 0.500 0.000 0.000
Cd 0.994 0.130 0.870
Mg 0.655 0.642 0.120
Mg 0.183 0.514 0.169
Mg 0.584 0.120 0.642
Mg 0.134 0.169 0.514

Output
calculated total energy = -16.5 eV for the cell shown
calculated formation energy = -0.01 eV per atom
theoretical density = 5.532 g cm⁻³
space-group type = C2/m (12)